VASP calculation (PBE-GGA) on Ti6As2H after structural relaxation.

Cell: 5.3966 5.3966 10.7188 Å, 90.00 90.00 90.00°
Space group P4_2/mnm (No. 136)
Inequivalent atoms, fractional coordinates:
Ti 0.1823 0.1823 0.1328
Ti 0.2243 0.2243 0.5000
As 0.0000 0.0000 0.3271
H 0.0000 0.0000 0.0000

Total energy: -0.252 Ha/atom
Fermi-level density of states: 8.8 states/eV/f.u.
V: 17.34 A^3/atom


VASP calculation (PBE-GGA) on ZrTi2AsH after structural relaxation.

Cell: 4.0216 4.0216 4.3981 Å, 90.00 90.00 90.00°
Space group P4/mmm (No. 123)
Inequivalent atoms, fractional coordinates:
Zr 0.0000 0.0000 0.0000
Ti 0.0000 0.5000 0.5000
As 0.5000 0.5000 0.0000
H 0.0000 0.0000 0.5000

Total energy: -0.256 Ha/atom
Fermi-level density of states: 4.8 states/eV/f.u.
V: 14.23 A^3/atom


VASP calculation (PBE-GGA) on Tl3As2H2 after structural relaxation.

Cell: 12.2877 3.6496 7.4269 Å, 90.00 96.60 90.00°
Space group C2/m (No. 12)
Inequivalent atoms, fractional coordinates:
Tl 0.0000 0.0000 0.0000
Tl 0.1308 0.5000 0.4022
As 0.2078 0.5000 0.9059
H 0.1897 0.0000 0.5758

Total energy: -0.113 Ha/atom
Fermi-level density of states: 1.3 states/eV/f.u.
V: 23.63 A^3/atom


VASP calculation (PBE-GGA) on Tl3AsH after structural relaxation.

Cell: 6.5926 10.4251 7.6701 Å, 90.00 100.84 90.00°
Space group P2_1/c (No. 14)
Inequivalent atoms, fractional coordinates:
Tl 0.0404 0.0003 0.2514
Tl 0.2769 0.2363 0.5632
Tl 0.2775 0.7380 0.0617
As 0.4803 0.5009 0.3410
H 0.0005 0.6238 0.5010

Total energy: -0.105 Ha/atom
Distance to the lowest polymorph of the same formula: 0.00 eV per formula unit
Fermi-level density of states: 1.6 states/eV/f.u.
V: 25.89 A^3/atom